Entry from Alexandria: LaBe3F after structural relaxation (GGA-PBE).

It has space group Pm-3m (No. 221), with a = 5.741 Å, b = 5.741 Å, c = 5.741 Å, α = 90.00°, β = 90.00° and γ = 90.00°. The asymmetric unit holds La at (0.000, 0.000, 0.000), Be at (0.000, 0.000, 0.500) and F at (0.500, 0.500, 0.500).

The raw total energy is -1.909 eV per atom. Its energy relative to the elements, uncorrected is 162.7 kJ/mol of atoms.